[1]
Entry from Alexandria: crystalline ScSb2Br at its relaxed geometry (PBE).

Structure (POSCAR):
```
ScSb2Br
1.0
0.000 3.729 3.729
3.729 0.000 3.729
3.729 3.729 0.000
Br Sb Sc
1 2 1
Cartesian
3.729 3.729 3.729
5.593 5.593 5.593
1.864 1.864 1.864
0.000 0.000 0.000
```

Summary:
- ΔE_f (raw) (eV/atom) = 0.014
- size of the total moment (μB/cell) = 0.000

[2]
Entry from Alexandria: crystalline ScSbBr2 at its relaxed geometry (PBE).

Structure (POSCAR):
```
ScSbBr2
1.0
-7.900 7.474 1.419
-9.034 6.007 -1.612
-9.878 4.523 1.504
Sb Br Sc
1 2 1
Cartesian
-6.703 4.501 0.328
-12.618 8.473 0.617
-0.788 0.529 0.039
-20.109 13.504 0.984
```

Summary:
- ΔE_f (raw) (eV/atom) = -0.841
- size of the total moment (μB/cell) = 0.141

[3]
Entry from Alexandria: crystalline ScSb2Br at its relaxed geometry (PBE).

Structure (POSCAR):
```
ScSb2Br
1.0
5.250 0.020 0.000
-0.010 5.250 0.000
-2.620 -2.635 3.709
Br Sb Sc
1 2 1
Cartesian
2.625 0.010 1.854
0.000 0.000 0.000
-0.005 2.625 1.854
2.620 2.635 0.000
```

Summary:
- ΔE_f (raw) (eV/atom) = -0.203
- size of the total moment (μB/cell) = 0.037

[4]
Entry from Alexandria: crystalline ScSbBr at its relaxed geometry (PBE).

Structure (POSCAR):
```
ScSbBr
1.0
-3.675 -2.987 1.406
-0.251 -4.607 -1.765
0.933 -3.836 2.969
Sc Br Sb
1 1 1
Cartesian
-2.245 -8.573 1.958
0.000 0.000 0.000
-1.496 -5.715 1.305
```

Summary:
- ΔE_f (raw) (eV/atom) = -0.515
- size of the total moment (μB/cell) = 0.000

[5]
Entry from Alexandria: crystalline ScSbBr2 at its relaxed geometry (PBE).

Structure (POSCAR):
```
ScSbBr2
1.0
-3.587 -0.129 -3.815
-4.849 -1.699 1.020
-4.002 3.379 0.053
Br Sb Sc
2 1 1
Cartesian
-3.110 0.388 -0.685
0.000 0.000 0.000
-6.219 0.775 -1.371
-9.329 1.163 -2.056
```

Summary:
- ΔE_f (raw) (eV/atom) = -0.228
- size of the total moment (μB/cell) = 0.000

[6]
Entry from Alexandria: crystalline ScSbBr2 at its relaxed geometry (PBE).

Structure (POSCAR):
```
ScSbBr2
1.0
7.045 -0.034 0.160
6.251 3.248 0.160
2.715 0.656 6.220
Br Sc Sb
2 1 1
Cartesian
12.374 2.992 1.062
12.098 2.925 5.328
3.754 0.907 0.706
9.086 2.197 3.033
```

Summary:
- ΔE_f (raw) (eV/atom) = -0.909
- size of the total moment (μB/cell) = 0.004

[7]
Entry from Alexandria: crystalline ScSbBr2 at its relaxed geometry (PBE).

Structure (POSCAR):
```
ScSbBr2
1.0
-4.238 -3.488 -1.282
4.694 -3.027 0.759
-0.738 -0.317 3.303
Sc Br Sb
1 2 1
Cartesian
1.978 -1.672 2.031
0.000 0.000 0.000
0.228 -3.258 -0.261
-2.488 -1.902 1.011
```

Summary:
- ΔE_f (raw) (eV/atom) = -0.226
- size of the total moment (μB/cell) = 0.000

[8]
Entry from Alexandria: crystalline ScSb2Br at its relaxed geometry (PBE).

Structure (POSCAR):
```
ScSb2Br
1.0
9.877 0.010 0.006
9.251 3.460 0.006
9.251 1.678 3.026
Br Sc Sb
1 1 2
Cartesian
21.284 3.861 2.278
7.095 1.287 0.759
28.264 5.127 3.025
14.304 2.595 1.531
```

Summary:
- ΔE_f (raw) (eV/atom) = -0.193
- size of the total moment (μB/cell) = 0.000